1.
The following is a PBE calculation of crystalline CdTcOs2 at its relaxed geometry, from the Alexandria database.

The structure in CIF format:
```
data_CdTcOs2
_chemical_formula_sum 'Cd1 Tc1 Os2'
_cell_length_a 3.975
_cell_length_b 3.975
_cell_length_c 3.960
_cell_angle_alpha 90.00
_cell_angle_beta 90.00
_cell_angle_gamma 90.00
_space_group_name_H-M_alt 'P 4/m m m'
_space_group_IT_number 123
_space_group_name_Hall '-P 4 2'
loop_
_atom_site_label
_atom_site_type_symbol
_atom_site_fract_x
_atom_site_fract_y
_atom_site_fract_z
_atom_site_occupancy
Cd1 Cd 0.000 0.000 0.000 1
Tc1 Tc 0.500 0.500 0.000 1
Os1 Os 0.000 0.500 0.500 1
```

Summary:
Total moment (μB per formula unit): 1.472
Final energy (eV/atom): -7.67
Energy of formation from the pure elements (eV/atom): 0.77

2.
The following is a PBE calculation of crystalline LiSiRu2 at its relaxed geometry, from the Alexandria database.

The structure in CIF format:
```
data_LiSiRu2
_chemical_formula_sum 'Li3 Si3 Ru6'
_cell_length_a 2.8090
_cell_length_b 2.8090
_cell_length_c 24.2217
_cell_angle_alpha 90.00
_cell_angle_beta 90.00
_cell_angle_gamma 120.00
_space_group_name_H-M_alt 'R -3 m'
_space_group_IT_number 166
_space_group_name_Hall '-R 3 2"'
loop_
_atom_site_label
_atom_site_type_symbol
_atom_site_fract_x
_atom_site_fract_y
_atom_site_fract_z
_atom_site_occupancy
Li1 Li 0.0000 0.0000 0.0000 1
Si1 Si 0.0000 0.0000 0.5000 1
Ru1 Ru 0.0000 0.0000 0.2415 1
```

Summary:
Total moment (μB per formula unit): 0.000
Energy relative to the elements, uncorrected (eV per atom): -0.142
Final energy (eV/atom): -6.61

3.
The following is a PBE calculation of crystalline TlReAu2 at its relaxed geometry, from the Alexandria database.

The structure in CIF format:
```
data_TlReAu2
_chemical_formula_sum 'Tl2 Re2 Au4'
_cell_length_a 4.271
_cell_length_b 4.271
_cell_length_c 8.181
_cell_angle_alpha 90.00
_cell_angle_beta 90.00
_cell_angle_gamma 90.00
_space_group_name_H-M_alt 'I -4 m 2'
_space_group_IT_number 119
_space_group_name_Hall 'I -4 -2'
loop_
_atom_site_label
_atom_site_type_symbol
_atom_site_fract_x
_atom_site_fract_y
_atom_site_fract_z
_atom_site_occupancy
Tl1 Tl 0.000 0.000 0.000 1
Re1 Re 0.000 0.500 0.250 1
Au1 Au 0.000 0.000 0.500 1
Au2 Au 0.000 0.500 0.750 1
```

Summary:
Total moment (μB per formula unit): 1.796
Final energy (eV/atom): -4.52
ΔE to the lowest computed polymorph (meV/atom): 305
Energy of formation from the pure elements (eV/atom): 0.83

4.
The following is a PBE calculation of crystalline MgNiW at its relaxed geometry, from the Alexandria database.

The structure in CIF format:
```
data_MgNiW
_chemical_formula_sum 'Mg4 Ni4 W4'
_cell_length_a 3.022
_cell_length_b 13.823
_cell_length_c 4.369
_cell_angle_alpha 90.00
_cell_angle_beta 90.00
_cell_angle_gamma 90.00
_space_group_name_H-M_alt 'A m m 2'
_space_group_IT_number 38
_space_group_name_Hall 'A 2 -2'
loop_
_atom_site_label
_atom_site_type_symbol
_atom_site_fract_x
_atom_site_fract_y
_atom_site_fract_z
_atom_site_occupancy
Mg1 Mg 0.000 0.180 0.000 1
Ni1 Ni 0.500 0.150 0.500 1
W1 W 0.000 0.000 0.502 1
W2 W 0.500 0.000 0.002 1
```

Summary:
Total moment (μB per formula unit): 0.000
Final energy (eV/atom): -6.64
ΔE to the lowest computed polymorph (meV/atom): 47
Energy of formation from the pure elements (eV/atom): 0.13

5.
The following is a PBE calculation of crystalline Tb6Sn2PbSe3 at its relaxed geometry, from the Alexandria database.

The structure in CIF format:
```
data_Tb6Sn2PbSe3
_chemical_formula_sum 'Tb12 Sn4 Pb2 Se6'
_cell_length_a 18.713
_cell_length_b 4.262
_cell_length_c 8.593
_cell_angle_alpha 90.00
_cell_angle_beta 104.57
_cell_angle_gamma 90.00
_space_group_name_H-M_alt 'C 1 2/m 1'
_space_group_IT_number 12
_space_group_name_Hall '-C 2y'
loop_
_atom_site_label
_atom_site_type_symbol
_atom_site_fract_x
_atom_site_fract_y
_atom_site_fract_z
_atom_site_occupancy
Tb1 Tb 0.002 0.000 0.242 1
Tb2 Tb 0.165 0.500 0.087 1
Tb3 Tb 0.170 0.500 0.580 1
Sn1 Sn 0.166 0.000 0.832 1
Pb1 Pb 0.000 0.500 0.500 1
Se1 Se 0.000 0.500 0.000 1
Se2 Se 0.167 0.000 0.333 1
```

Summary:
Total moment (μB per formula unit): 0.000
Energy relative to the elements, uncorrected (eV per atom): -1.197
Final energy (eV/atom): -5.36

6.
The following is a PBE calculation of crystalline WBrCl2 at its relaxed geometry, from the Alexandria database.

The structure in CIF format:
```
data_WBrCl2
_chemical_formula_sum 'W2 Br2 Cl4'
_cell_length_a 3.760
_cell_length_b 4.852
_cell_length_c 13.623
_cell_angle_alpha 90.00
_cell_angle_beta 90.00
_cell_angle_gamma 90.00
_space_group_name_H-M_alt 'A m m 2'
_space_group_IT_number 38
_space_group_name_Hall 'A 2 -2'
loop_
_atom_site_label
_atom_site_type_symbol
_atom_site_fract_x
_atom_site_fract_y
_atom_site_fract_z
_atom_site_occupancy
W1 W 0.000 0.000 0.000 1
Br1 Br 0.500 0.000 0.132 1
Cl1 Cl 0.000 0.000 0.470 1
Cl2 Cl 0.500 0.000 0.881 1
```

Summary:
Total moment (μB per formula unit): 2.934
Energy relative to the elements, uncorrected (eV per atom): -0.347
Final energy (eV/atom): -4.93
ΔE to the lowest computed polymorph (meV/atom): 0

7.
The following is a PBE calculation of crystalline PrBi2Pd7 at its relaxed geometry, from the Alexandria database.

The structure in CIF format:
```
data_PrBi2Pd7
_chemical_formula_sum 'Pr2 Bi4 Pd14'
_cell_length_a 4.135
_cell_length_b 4.135
_cell_length_c 23.908
_cell_angle_alpha 90.00
_cell_angle_beta 90.00
_cell_angle_gamma 90.00
_space_group_name_H-M_alt 'I 4/m m m'
_space_group_IT_number 139
_space_group_name_Hall '-I 4 2'
loop_
_atom_site_label
_atom_site_type_symbol
_atom_site_fract_x
_atom_site_fract_y
_atom_site_fract_z
_atom_site_occupancy
Pr1 Pr 0.000 0.000 0.000 1
Bi1 Bi 0.000 0.000 0.331 1
Pd1 Pd 0.000 0.000 0.500 1
Pd2 Pd 0.000 0.500 0.091 1
Pd3 Pd 0.000 0.500 0.250 1
```

Summary:
Total moment (μB per formula unit): 0.000
Final energy (eV/atom): -5.28
ΔE to the lowest computed polymorph (meV/atom): 0
Energy of formation from the pure elements (eV/atom): -0.39

8.
The following is a PBE calculation of crystalline YH2Rh3 at its relaxed geometry, from the Alexandria database.

The structure in CIF format:
```
data_YH2Rh3
_chemical_formula_sum 'Y1 H2 Rh3'
_cell_length_a 5.3650
_cell_length_b 5.3650
_cell_length_c 2.9234
_cell_angle_alpha 90.00
_cell_angle_beta 90.00
_cell_angle_gamma 120.00
_space_group_name_H-M_alt 'P 6/m m m'
_space_group_IT_number 191
_space_group_name_Hall '-P 6 2'
loop_
_atom_site_label
_atom_site_type_symbol
_atom_site_fract_x
_atom_site_fract_y
_atom_site_fract_z
_atom_site_occupancy
Y1 Y 0.0000 0.0000 0.0000 1
H1 H 0.3333 0.6667 0.0000 1
Rh1 Rh 0.0000 0.5000 0.5000 1
```

Summary:
Total moment (μB per formula unit): 0.000
Final energy (eV/atom): -6.06

9.
The following is a PBE calculation of crystalline Tb4Pm2DyEr at its relaxed geometry, from the Alexandria database.

The structure in CIF format:
```
data_Tb4Pm2DyEr
_chemical_formula_sum 'Tb8 Pm4 Dy2 Er2'
_cell_length_a 7.152
_cell_length_b 7.159
_cell_length_c 10.082
_cell_angle_alpha 89.96
_cell_angle_beta 89.90
_cell_angle_gamma 90.00
_space_group_name_H-M_alt 'P -1'
_space_group_IT_number 2
_space_group_name_Hall '-P 1'
loop_
_atom_site_label
_atom_site_type_symbol
_atom_site_fract_x
_atom_site_fract_y
_atom_site_fract_z
_atom_site_occupancy
Tb1 Tb 0.248 0.249 0.248 1
Tb2 Tb 0.248 0.249 0.752 1
Tb3 Tb 0.248 0.751 0.248 1
Tb4 Tb 0.248 0.751 0.752 1
Pm1 Pm 0.000 0.500 0.500 1
Pm2 Pm 0.500 0.000 0.500 1
Pm3 Pm 0.500 0.500 0.000 1
Pm4 Pm 0.500 0.500 0.500 1
Dy1 Dy 0.000 0.000 0.500 1
Dy2 Dy 0.500 0.000 0.000 1
Er1 Er 0.000 0.000 0.000 1
Er2 Er 0.000 0.500 0.000 1
```

Summary:
Total moment (μB per formula unit): 0.000
Final energy (eV/atom): -4.63
Energy of formation from the pure elements (eV/atom): 0.01

10.
The following is a PBE calculation of crystalline LaCe2SmHg4 at its relaxed geometry, from the Alexandria database.

The structure in CIF format:
```
data_LaCe2SmHg4
_chemical_formula_sum 'La3 Ce6 Sm3 Hg12'
_cell_length_a 5.4314
_cell_length_b 5.4314
_cell_length_c 26.6880
_cell_angle_alpha 90.00
_cell_angle_beta 90.00
_cell_angle_gamma 120.00
_space_group_name_H-M_alt 'R -3 m'
_space_group_IT_number 166
_space_group_name_Hall '-R 3 2"'
loop_
_atom_site_label
_atom_site_type_symbol
_atom_site_fract_x
_atom_site_fract_y
_atom_site_fract_z
_atom_site_occupancy
La1 La 0.0000 0.0000 0.0000 1
Ce1 Ce 0.0000 0.0000 0.2501 1
Sm1 Sm 0.0000 0.0000 0.5000 1
Hg1 Hg 0.0000 0.0000 0.1267 1
Hg2 Hg 0.0000 0.0000 0.3772 1
```

Summary:
Total moment (μB per formula unit): 3.694
Final energy (eV/atom): -3.22
Energy of formation from the pure elements (eV/atom): -0.38

11.
The following is a PBE calculation of crystalline SrHf2IN at its relaxed geometry, from the Alexandria database.

The structure in CIF format:
```
data_SrHf2IN
_chemical_formula_sum 'Sr1 Hf2 I1 N1'
_cell_length_a 5.162
_cell_length_b 5.162
_cell_length_c 6.159
_cell_angle_alpha 90.00
_cell_angle_beta 90.00
_cell_angle_gamma 90.00
_space_group_name_H-M_alt 'P 4/m m m'
_space_group_IT_number 123
_space_group_name_Hall '-P 4 2'
loop_
_atom_site_label
_atom_site_type_symbol
_atom_site_fract_x
_atom_site_fract_y
_atom_site_fract_z
_atom_site_occupancy
Sr1 Sr 0.000 0.000 0.000 1
Hf1 Hf 0.000 0.500 0.500 1
I1 I 0.000 0.000 0.500 1
N1 N 0.500 0.500 0.000 1
```

Summary:
Total moment (μB per formula unit): 0.000
Energy relative to the elements, uncorrected (eV per atom): 1.982
Final energy (eV/atom): -4.31

12.
The following is a PBE calculation of crystalline CdCoTe2N at its relaxed geometry, from the Alexandria database.

The structure in CIF format:
```
data_CdCoTe2N
_chemical_formula_sum 'Cd1 Co1 Te2 N1'
_cell_length_a 5.485
_cell_length_b 5.485
_cell_length_c 3.410
_cell_angle_alpha 90.00
_cell_angle_beta 90.00
_cell_angle_gamma 90.00
_space_group_name_H-M_alt 'P 4/m m m'
_space_group_IT_number 123
_space_group_name_Hall '-P 4 2'
loop_
_atom_site_label
_atom_site_type_symbol
_atom_site_fract_x
_atom_site_fract_y
_atom_site_fract_z
_atom_site_occupancy
Cd1 Cd 0.000 0.000 0.000 1
Co1 Co 0.500 0.500 0.500 1
Te1 Te 0.000 0.500 0.500 1
N1 N 0.500 0.500 0.000 1
```

Summary:
Total moment (μB per formula unit): 0.000
Energy relative to the elements, uncorrected (eV per atom): 0.233
Final energy (eV/atom): -4.29
ΔE to the lowest computed polymorph (meV/atom): 0

13.
The following is a PBE calculation of crystalline SrTl6Hg2 at its relaxed geometry, from the Alexandria database.

The structure in CIF format:
```
data_SrTl6Hg2
_chemical_formula_sum 'Sr2 Tl12 Hg4'
_cell_length_a 11.995
_cell_length_b 5.558
_cell_length_c 10.046
_cell_angle_alpha 90.00
_cell_angle_beta 125.84
_cell_angle_gamma 90.00
_space_group_name_H-M_alt 'C 1 2/m 1'
_space_group_IT_number 12
_space_group_name_Hall '-C 2y'
loop_
_atom_site_label
_atom_site_type_symbol
_atom_site_fract_x
_atom_site_fract_y
_atom_site_fract_z
_atom_site_occupancy
Sr1 Sr 0.000 0.000 0.000 1
Tl1 Tl 0.091 0.000 0.423 1
Tl2 Tl 0.154 0.500 0.666 1
Tl3 Tl 0.243 0.500 0.087 1
Hg1 Hg 0.083 0.500 0.253 1
```

Summary:
Total moment (μB per formula unit): 0.000
Final energy (eV/atom): -1.97
ΔE to the lowest computed polymorph (meV/atom): 0
Energy of formation from the pure elements (eV/atom): -0.14

14.
The following is a PBE calculation of crystalline Sc2CrAs at its relaxed geometry, from the Alexandria database.

The structure in CIF format:
```
data_Sc2CrAs
_chemical_formula_sum 'Sc4 Cr2 As2'
_cell_length_a 4.127
_cell_length_b 4.127
_cell_length_c 8.555
_cell_angle_alpha 90.00
_cell_angle_beta 90.00
_cell_angle_gamma 90.00
_space_group_name_H-M_alt 'I 4/m m m'
_space_group_IT_number 139
_space_group_name_Hall '-I 4 2'
loop_
_atom_site_label
_atom_site_type_symbol
_atom_site_fract_x
_atom_site_fract_y
_atom_site_fract_z
_atom_site_occupancy
Sc1 Sc 0.000 0.500 0.250 1
Cr1 Cr 0.000 0.000 0.000 1
As1 As 0.000 0.000 0.500 1
```

Summary:
Total moment (μB per formula unit): 2.935
Final energy (eV/atom): -7.02
Energy of formation from the pure elements (eV/atom): -0.28

15.
The following is a PBE calculation of crystalline KYPt at its relaxed geometry, from the Alexandria database.

The structure in CIF format:
```
data_KYPt
_chemical_formula_sum 'K2 Y2 Pt2'
_cell_length_a 3.662
_cell_length_b 3.662
_cell_length_c 14.617
_cell_angle_alpha 90.00
_cell_angle_beta 90.00
_cell_angle_gamma 90.00
_space_group_name_H-M_alt 'I 4 m m'
_space_group_IT_number 107
_space_group_name_Hall 'I 4 -2'
loop_
_atom_site_label
_atom_site_type_symbol
_atom_site_fract_x
_atom_site_fract_y
_atom_site_fract_z
_atom_site_occupancy
K1 K 0.000 0.000 0.000 1
Y1 Y 0.000 0.000 0.250 1
Pt1 Pt 0.000 0.000 0.669 1
```

Summary:
Total moment (μB per formula unit): 0.000
Final energy (eV/atom): -4.97
ΔE to the lowest computed polymorph (meV/atom): 0
Energy of formation from the pure elements (eV/atom): -0.44